DFT (GGA-PBE) results for an optimized crystal structure of VGaFe3.

Output
crystal system: cubic
ρ: 6.1 Mg/m³
SG: Pm-3m
distance to the lowest polymorph of the same formula: 116.2 kJ per mole of atoms
energy of formation from the pure elements: 1015 meV per atom
total moment: 4.5 μB/cell
DFT total energy: -6.492 eV per atom

Unit cell a=4.2741 b=4.2741 c=4.2741 alpha=90.00 beta=90.00 gamma=90.00
Closest atoms and distances in Å follow each position.
Positions (direct):
V1 0.0000 0.0000 0.0000  6 Fe 2.14
Ga1 0.5000 0.5000 0.5000  12 Fe 3.02
Fe1 0.0000 0.0000 0.5000  2 V 2.14
Fe2 0.0000 0.5000 0.0000  2 V 2.14
Fe3 0.5000 0.0000 0.0000  2 V 2.14


DFT (GGA-PBE) results for an optimized crystal structure of Ba7Tl2H2.

Output
crystal system: monoclinic
ρ: 4.5 Mg/m³
SG: C2/m
total moment: 0.4 μB/cell
DFT total energy: -2.433 eV per atom

Unit cell a=8.5665 b=8.5665 c=7.2174 alpha=100.52 beta=100.52 gamma=95.36
Closest atoms and distances in Å follow each position.
Positions (direct):
Ba1 0.0000 0.0000 0.0000  2 H 2.68
Ba2 0.1239 0.4586 0.7650  1 H 2.69
Ba3 0.3723 0.3723 0.2672  1 H 2.60
Ba4 0.4586 0.1239 0.7650  1 H 2.69
Ba5 0.5414 0.8761 0.2350  1 H 2.69
Ba6 0.6277 0.6277 0.7328  1 H 2.60
Ba7 0.8761 0.5414 0.2350  1 H 2.69
Tl1 0.2553 0.7447 0.5000  6 Ba 3.56-3.64
Tl2 0.7447 0.2553 0.5000  6 Ba 3.56-3.64
H1 0.2167 0.2167 0.9304  4 Ba 2.60-2.69
H2 0.7833 0.7833 0.0696  4 Ba 2.60-2.69


DFT (GGA-PBE) results for an optimized crystal structure of Rb4PbBr6.

Output
crystal system: trigonal
ρ: 3.8 Mg/m³
SG: R-3c
total moment: 0.0 μB/cell
DFT total energy: -3.139 eV per atom
energy relative to the elements, uncorrected: -1537 meV per atom

Unit cell a=9.6361 b=9.6361 c=9.6361 alpha=89.77 beta=89.77 gamma=89.77
Closest atoms and distances in Å follow each position.
Positions (direct):
Rb1 0.1292 0.7500 0.3708  8 Br 3.63-3.80
Rb2 0.2500 0.2500 0.2500  6 Br 3.46
Rb3 0.2500 0.6292 0.8708  8 Br 3.63-3.80
Rb4 0.3708 0.1292 0.7500  8 Br 3.63-3.80
Rb5 0.6292 0.8708 0.2500  8 Br 3.63-3.80
Rb6 0.7500 0.3708 0.1292  8 Br 3.63-3.80
Rb7 0.7500 0.7500 0.7500  6 Br 3.46
Rb8 0.8708 0.2500 0.6292  8 Br 3.63-3.80
Pb1 0.0000 0.0000 0.0000  6 Br 3.05
Pb2 0.5000 0.5000 0.5000  6 Br 3.05
Br1 0.0578 0.9273 0.6973  1 Pb 3.05
Br2 0.0727 0.3027 0.9422  1 Pb 3.05
Br3 0.1973 0.4273 0.5578  1 Pb 3.05
Br4 0.3027 0.9422 0.0727  1 Pb 3.05
Br5 0.4273 0.5578 0.1973  1 Pb 3.05
Br6 0.4422 0.8027 0.5727  1 Pb 3.05
Br7 0.5578 0.1973 0.4273  1 Pb 3.05
Br8 0.5727 0.4422 0.8027  1 Pb 3.05
Br9 0.6973 0.0578 0.9273  1 Pb 3.05
Br10 0.8027 0.5727 0.4422  1 Pb 3.05
Br11 0.9273 0.6973 0.0578  1 Pb 3.05
Br12 0.9422 0.0727 0.3027  1 Pb 3.05


DFT (GGA-PBE) results for an optimized crystal structure of U2Fe3ReB12.

Output
crystal system: trigonal
ρ: 8.4 Mg/m³
SG: R-3m
energy of formation from the pure elements: 134 meV per atom
total moment: 3.3 μB/cell
DFT total energy: -7.674 eV per atom

Unit cell a=8.2418 b=8.2418 c=8.2418 alpha=38.00 beta=38.00 gamma=38.00
Closest atoms and distances in Å follow each position.
Positions (direct):
U1 0.1430 0.1430 0.1430  12 B 2.66-2.97
U2 0.8570 0.8570 0.8570  12 B 2.66-2.97
Fe1 0.0000 0.5000 0.5000  6 B 2.09-2.12
Fe2 0.5000 0.0000 0.5000  6 B 2.09-2.12
Fe3 0.5000 0.5000 0.0000  6 B 2.09-2.12
Re1 0.5000 0.5000 0.5000  6 B 2.11
B1 0.1536 0.1536 0.4808  4 B 1.72-1.76
B2 0.1536 0.4808 0.1536  4 B 1.72-1.76
B3 0.1705 0.5497 0.5497  2 B 1.72
B4 0.4503 0.4503 0.8295  2 B 1.72
B5 0.4503 0.8295 0.4503  2 B 1.72
B6 0.4808 0.1536 0.1536  4 B 1.72-1.76
B7 0.5192 0.8464 0.8464  4 B 1.72-1.76
B8 0.5497 0.1705 0.5497  2 B 1.72
B9 0.5497 0.5497 0.1705  2 B 1.72
B10 0.8295 0.4503 0.4503  2 B 1.72
B11 0.8464 0.5192 0.8464  4 B 1.72-1.76
B12 0.8464 0.8464 0.5192  4 B 1.72-1.76